(1)
An optimized crystal structure of TcSnHF. Source: Alexandria, functional PBE.

The energy above the most stable polymorph in this dataset comes out at 161.1 meV per atom.

The space group is Pm (No. 6) and the conventional cell measures 4.319, 2.912 and 5.025 Å, with angles of 90.00, 107.07 and 90.00 degrees. The asymmetric unit holds Tc at (0.000, 0.000, 0.000), Sn at (0.547, 0.500, 0.206), H at (0.193, 0.000, 0.761) and F at (0.703, 0.500, 0.689).

=====

(2)
An optimized crystal structure of Mo4PW. Source: Alexandria, functional PBE.

The electronic total energy comes out at -9.693 eV per atom.

The space group is F-43m (No. 216) and the conventional cell measures 7.321, 7.321 and 7.321 Å, with angles of 90.00, 90.00 and 90.00 degrees. The asymmetric unit holds Mo at (0.124, 0.124, 0.124), P at (0.250, 0.250, 0.750) and W at (0.000, 0.000, 0.500).

=====

(3)
An optimized crystal structure of SiAsOs2. Source: Alexandria, functional PBE.

The calculation puts the energy relative to the elements, uncorrected at 0.575 eV/atom. The energy above the most stable polymorph in this dataset comes out at 536.5 meV per atom.

The space group is I-42d (No. 122) and the conventional cell measures 5.412, 5.412 and 10.954 Å, with angles of 90.00, 90.00 and 90.00 degrees. The asymmetric unit holds Si at (0.000, 0.000, 0.000), As at (0.000, 0.000, 0.500) and Os at (0.241, 0.250, 0.125).

=====

(4)
An optimized crystal structure of LaCe2Dy3As6. Source: Alexandria, functional PBE.

The electronic total energy comes out at -6.378 eV per atom.

The space group is C2/m (No. 12) and the conventional cell measures 7.274, 12.595 and 7.252 Å, with angles of 90.00, 109.54 and 90.00 degrees. The asymmetric unit holds La at (0.000, 0.000, 0.000), Ce at (0.000, 0.333, 0.000), Dy at (0.000, 0.165, 0.500), Dy at (0.000, 0.500, 0.500), As at (0.245, 0.330, 0.743) and As at (0.246, 0.500, 0.257).

=====

(5)
An optimized crystal structure of Ba3CaCd2O6. Source: Alexandria, functional PBE.

The calculation puts the energy relative to the elements, uncorrected at -1.834 eV/atom.

The space group is P-3m1 (No. 164) and the conventional cell measures 6.4261, 6.4261 and 6.8649 Å, with angles of 90.00, 90.00 and 120.00 degrees. The asymmetric unit holds Ba at (0.0000, 0.0000, 0.0000), Ba at (0.3333, 0.6667, 0.6101), Ca at (0.0000, 0.0000, 0.5000), Cd at (0.3333, 0.6667, 0.1471) and O at (0.1658, 0.3316, 0.2964).

=====

(6)
An optimized crystal structure of ScBiPd3. Source: Alexandria, functional PBE.

The energy above the most stable polymorph in this dataset comes out at 0.0 meV per atom.

The space group is Pmmn (No. 59, origin choice 2) and the conventional cell measures 4.442, 5.658 and 7.783 Å, with angles of 90.00, 90.00 and 90.00 degrees. The asymmetric unit holds Sc at (0.250, 0.250, 0.066), Bi at (0.250, 0.250, 0.452), Pd at (0.250, 0.510, 0.762) and Pd at (0.250, 0.750, 0.127).

=====

Number 1: calculated volume 15.11 Å³/atom. Number 2: calculated volume 16.35 Å³/atom. Number 3: calculated volume 20.05 Å³/atom. Number 4: calculated volume 26.09 Å³/atom. Number 5: calculated volume 20.46 Å³/atom. Number 6: calculated volume 19.56 Å³/atom.